Entry 1:
{
  "formula": "NaTb2In",
  "functional": "GGA-PBE",
  "state": "relaxed",
  "lattice": [[-2.483, -0.796, 2.442], [2.166, -2.474, 1.396], [3.682, 6.542, 5.878]],
  "species": ["In", "Na", "Tb", "Tb"],
  "frac_coords": [[0.500, 0.500, 0.000], [0.500, 0.500, 0.500], [0.000, 0.000, 0.213], [0.000, 0.000, 0.787]],
  "final_energy_ev_per_cell": -13.63,
  "rho_g_cm3": 6.2,
  "magmom_total_mub_per_fu": 0.00
}

Entry 2:
{
  "formula": "K3Zr3CoSe8",
  "functional": "GGA-PBE",
  "state": "relaxed",
  "lattice": [[-4.408, -6.127, 1.753], [4.344, 3.342, 5.485], [-7.392, 4.619, -2.448]],
  "species": ["Se", "Se", "Se", "Se", "Se", "Se", "Se", "Se", "K", "K", "K", "Zr", "Zr", "Zr", "Co"],
  "frac_coords": [[0.264, 0.037, 0.309], [0.773, 0.037, 0.309], [0.772, 0.544, 0.309], [0.227, 0.963, 0.691], [0.736, 0.963, 0.691], [0.734, 0.468, 0.703], [0.228, 0.456, 0.691], [0.266, 0.532, 0.297], [0.000, 0.000, 0.000], [0.000, 0.500, 0.000], [0.500, 0.500, 0.000], [0.500, 0.500, 0.500], [0.000, 0.500, 0.500], [0.500, 0.000, 0.500], [0.000, 0.000, 0.500]],
  "final_energy_ev_per_cell": -81.11,
  "raw_formation_energy_ev_per_atom": -1.146,
  "rho_g_cm3": 4.4,
  "magmom_total_mub_per_fu": 2.38
}

Entry 3:
{
  "formula": "TcPbCl6",
  "functional": "GGA-PBE",
  "state": "relaxed",
  "lattice": [[-5.796, 3.396, 0.620], [-1.562, -4.852, -4.419], [1.119, -3.280, 6.308]],
  "species": ["Cl", "Cl", "Cl", "Cl", "Cl", "Cl", "Pb", "Tc"],
  "frac_coords": [[0.030, 0.713, 0.737], [0.257, 0.257, 0.942], [0.713, 0.030, 0.737], [0.970, 0.287, 0.263], [0.743, 0.743, 0.058], [0.287, 0.970, 0.263], [0.000, 0.000, 0.500], [0.000, 0.000, 0.000]],
  "final_energy_ev_per_cell": -31.97,
  "raw_formation_energy_ev_per_atom": -0.852,
  "rho_g_cm3": 3.0,
  "magmom_total_mub_per_fu": 3.00,
  "polymorph_energy_mev_per_atom": 0
}

Entry 4:
{
  "formula": "TeSe2O6",
  "functional": "GGA-PBE",
  "state": "relaxed",
  "lattice": [[-2.158, 0.265, -4.736], [-0.990, -4.370, -2.661], [-7.129, -1.668, 0.288]],
  "species": ["O", "O", "O", "O", "O", "O", "Se", "Se", "Te"],
  "frac_coords": [[0.946, 0.553, 0.203], [0.083, 0.429, 0.797], [0.298, 0.946, 0.203], [0.691, 0.083, 0.797], [0.429, 0.691, 0.797], [0.553, 0.298, 0.203], [0.436, 0.436, 0.691], [0.231, 0.231, 0.308], [0.667, 0.667, 0.999]],
  "final_energy_ev_per_cell": -46.53,
  "raw_formation_energy_ev_per_atom": -0.741,
  "rho_g_cm3": 4.0,
  "magmom_total_mub_per_fu": 0.00
}

Number 1: calculated volume 122 Å³/f.u.. Number 2: calculated volume 409 Å³/f.u.. Number 3: calculated volume 285 Å³/f.u.. Number 4: calculated volume 157 Å³/f.u..